Here is an optimized crystal structure of Nd2NiHg from Alexandria via LeMat-Bulk. Energies are from PBE.

Unit cell a=8.038 b=8.038 c=8.038 alpha=29.55 beta=29.55 gamma=29.55
Fractional positions:
Nd (0.000, 0.000, 0.000)
Nd (0.200, 0.200, 0.200)
Ni (0.599, 0.599, 0.599)
Hg (0.434, 0.434, 0.434)

Output
Space group: No. 160
Excess energy over the best structure of this formula in the dataset (eV/atom): 0.0675

---

Here is an optimized crystal structure of NdNiHg from Alexandria via LeMat-Bulk. Energies are from PBE.

Unit cell a=8.694 b=8.694 c=4.024 alpha=90.00 beta=90.00 gamma=153.96
Fractional positions:
Nd (0.097, 0.903, 0.750)
Nd (0.903, 0.097, 0.250)
Ni (0.460, 0.540, 0.750)
Ni (0.540, 0.460, 0.250)
Hg (0.297, 0.703, 0.750)
Hg (0.703, 0.297, 0.250)

Output
Space group: No. 63

---

no.,calculated formation energy (eV/f.u.)
1,-1.11
2,-1.25